6
Lattice="4.5087 0.0000 0.0000 0.0000 4.5087 0.0000 0.0000 0.0000 5.4748" Properties=species:S:1:pos:R:3 comment="DySi2Ir2Pt PBE relaxed" density_g_cm3=11.9 spacegroup="P4/mmm (123)" energy_ev_per_fu=-40.95 dos_ef_per_ev_fu=3.88 magnetic_moment_mub_per_cell=0.00 pbc="T T T"
Si 2.2544 0.0000 0.0000
Dy 0.0000 0.0000 2.7374
Ir 2.2544 2.2544 4.0443
Si 0.0000 2.2544 0.0000
Pt 0.0000 0.0000 0.0000
Ir 2.2544 2.2544 1.4306

4
Lattice="4.0855 0.0000 0.0000 0.0000 4.0785 0.2385 0.0000 -0.3422 5.8276" Properties=species:S:1:pos:R:3 comment="DyThIrPt PBE relaxed" density_g_cm3=13.3 polymorph_energy_kj_per_mol_atoms=0.0 e_form_mev_per_atom=-1024 spacegroup="Pm (6)" dos_ef_per_ev_fu=2.98 magnetic_moment_mub_per_cell=0.00 pbc="T T T"
Pt 2.0428 1.3964 3.5504
Ir 0.0000 3.6022 0.7477
Th 2.0428 1.5622 0.6361
Dy 0.0000 3.4363 3.6604

4
Lattice="5.0132 0.0000 0.0000 2.5066 4.3416 0.0000 2.5066 1.4472 4.0933" Properties=species:S:1:pos:R:3 comment="DyThIrPt PBE relaxed" density_g_cm3=14.6 polymorph_energy_kj_per_mol_atoms=7.9 e_form_mev_per_atom=-942 spacegroup="F-43m (216)" dos_ef_per_ev_fu=4.16 magnetic_moment_mub_per_cell=0.00 pbc="T T T"
Dy 0.0000 0.0000 0.0000
Ir 2.5066 1.4472 1.0233
Pt 7.5199 4.3416 3.0700
Th 5.0132 2.8944 2.0466

4
Lattice="-0.7511 -4.4295 -1.8517 2.6295 -1.5268 -3.7906 3.3353 -3.4825 0.6015" Properties=species:S:1:pos:R:3 comment="DyTmIrPt PBE relaxed" density_g_cm3=14.7 polymorph_energy_kj_per_mol_atoms=1.6 e_form_mev_per_atom=-1058 spacegroup="F-43m (216)" dos_ef_per_ev_fu=1.84 magnetic_moment_mub_per_cell=0.00 pbc="T T T"
Tm 2.6068 -4.7194 -2.5204
Dy 0.0000 0.0000 0.0000
Pt 3.9103 -7.0791 -3.7805
Ir 1.3034 -2.3597 -1.2602

4
Lattice="-1.7076 -2.7440 1.1557 2.3335 -2.0609 -1.4453 3.7137 0.1339 5.8050" Properties=species:S:1:pos:R:3 comment="DyTmIrPt PBE relaxed" density_g_cm3=14.7 polymorph_energy_kj_per_mol_atoms=0.0 e_form_mev_per_atom=-1075 spacegroup="P4mm (99)" dos_ef_per_ev_fu=1.62 magnetic_moment_mub_per_cell=0.00 pbc="T T T"
Dy 2.5973 -2.3200 3.4260
Tm 0.6839 -2.3890 0.4352
Pt 1.3045 0.0470 2.0391
Ir 3.2000 0.1154 5.0020

4
Lattice="4.6297 0.0000 0.0000 2.3148 4.0094 0.0000 2.3148 1.3365 3.7801" Properties=species:S:1:pos:R:3 comment="DyZnIrPt PBE relaxed" density_g_cm3=14.6 e_form_mev_per_atom=-619 spacegroup="F-43m (216)" dos_ef_per_ev_fu=1.64 magnetic_moment_mub_per_cell=0.00 pbc="T T T"
Dy 4.6297 2.6730 1.8901
Pt 6.9445 4.0094 2.8351
Zn 0.0000 0.0000 0.0000
Ir 2.3148 1.3365 0.9450